1.
A plane-wave DFT calculation with PBE-GGA was carried out for a geometry-optimized LaRe3S structure.

Geometry as POSCAR:
```
LaRe3S
1.0
-1.487 -4.636 -0.030
4.602 -1.472 -0.600
0.563 -0.212 4.831
Re S La
3 1 1
Cartesian
2.301 -0.736 -0.300 Re
0.281 -0.106 2.416 Re
-0.743 -2.318 -0.015 Re
1.839 -3.160 2.101 S
0.000 0.000 0.000 La
```

As for the formation energy without anion corrections: 17.0 eV/f.u. As for the space-group type: No. 221. The magnetic moment is 2.30 μB per formula unit. For the energy above the lowest structure with this stoichiometry, the calculation gives 267.0 kJ/mol of atoms.

2.
A plane-wave DFT calculation with PBE-GGA was carried out for a geometry-optimized Hg2PbBr structure.

Geometry as POSCAR:
```
Hg2PbBr
1.0
-0.613 5.322 2.377
-4.109 4.157 0.435
-3.251 0.514 5.546
Pb Hg Br
1 2 1
Cartesian
-3.472 4.787 3.379 Pb
-3.226 0.722 5.374 Hg
-6.343 7.903 6.679 Hg
-2.169 2.092 2.649 Br
```

As for the formation energy without anion corrections: -0.8 eV/f.u. As for the space-group type: No. 8. The magnetic moment is 0.00 μB per formula unit. For the energy above the lowest structure with this stoichiometry, the calculation gives 0.0 kJ/mol of atoms.

3.
A plane-wave DFT calculation with PBE-GGA was carried out for a geometry-optimized NbNiW structure.

Geometry as POSCAR:
```
NbNiW
1.0
-1.849 -0.173 1.970
0.030 -2.699 -0.209
5.416 1.161 3.326
Ni Nb W
1 1 1
Cartesian
3.054 -0.186 2.850 Ni
0.677 -1.533 2.361 Nb
3.464 -1.703 4.963 W
```

As for the space-group type: No. 107. The magnetic moment is 0.00 μB per formula unit. For the energy above the lowest structure with this stoichiometry, the calculation gives 0.0 kJ/mol of atoms.

4.
A plane-wave DFT calculation with PBE-GGA was carried out for a geometry-optimized Tb3Er8Sc2 structure.

Geometry as POSCAR:
```
Tb3Er8Sc2
1.0
5.463 0.000 0.802
0.000 7.611 0.000
-1.410 -3.805 9.591
Tb Er Sc
3 8 2
Cartesian
2.731 0.000 0.401 Tb
0.000 2.192 0.000 Tb
0.000 5.419 0.000 Tb
-0.495 3.805 3.382 Er
4.548 0.000 7.012 Er
5.080 0.000 3.401 Er
-1.028 3.805 6.992 Er
1.639 1.597 7.827 Er
1.639 -1.597 7.827 Er
2.414 5.402 2.567 Er
2.414 2.208 2.567 Er
2.050 0.000 5.022 Sc
2.002 3.805 5.371 Sc
```

As for the space-group type: No. 65. The magnetic moment is 0.00 μB per formula unit. For the energy above the lowest structure with this stoichiometry, the calculation gives 0.5 kJ/mol of atoms.

5.
A plane-wave DFT calculation with PBE-GGA was carried out for a geometry-optimized Pm5ScGe6 structure.

Geometry as POSCAR:
```
Pm5ScGe6
1.0
7.462 0.589 0.000
2.687 5.764 0.000
1.343 2.882 7.244
Pm Sc Ge
5 1 6
Cartesian
5.075 3.176 4.472 Pm
1.343 2.882 2.092 Pm
5.075 3.176 0.000 Pm
2.687 5.764 5.152 Pm
6.418 6.058 2.772 Pm
0.000 0.000 0.000 Sc
6.468 1.524 2.377 Ge
3.681 4.829 2.377 Ge
2.734 1.146 0.000 Ge
7.416 5.207 0.000 Ge
7.812 4.406 4.867 Ge
5.024 7.711 4.867 Ge
```

As for the space-group type: No. 12. The magnetic moment is 0.00 μB per formula unit. As for the total DFT energy (no corrections): -5.517 eV per atom.

6.
A plane-wave DFT calculation with PBE-GGA was carried out for a geometry-optimized PmNdH8Rh2 structure.

Geometry as POSCAR:
```
PmNdH8Rh2
1.0
-0.610 2.726 4.027
-3.703 -0.952 3.066
2.089 -3.181 5.452
Pm Nd H Rh
1 1 8 2
Cartesian
0.000 0.000 0.000 Pm
-1.113 -0.704 6.272 Nd
0.258 -1.223 3.849 H
-1.721 0.262 4.258 H
-2.483 -0.185 8.696 H
-1.899 1.442 5.903 H
-0.326 -2.850 6.642 H
-3.228 -0.062 5.583 H
1.002 -1.346 6.962 H
-0.504 -1.671 8.287 H
-0.692 -0.207 3.018 Rh
-1.533 -1.201 9.527 Rh
```

As for the space-group type: No. 148. The magnetic moment is 0.00 μB per formula unit. As for the total DFT energy (no corrections): -4.546 eV per atom.

| no. | V (Å³/cell) |
| --- | --- |
| 1 | 115 |
| 2 | 127 |
| 3 | 45 |
| 4 | 407 |
| 5 | 300 |
| 6 | 125 |